Record 1
This record from Alexandria via LeMat-Bulk describes a geometry-optimized FeSb2TeCl structure. The functional is PBE.

Computed properties:
Symmetry: P4/mmm
ΔE_f (raw): 283 meV/atom
Total magnetization: 0.0 μB/cell
Energy above the most stable polymorph in this dataset: 0.000 eV/atom
Electronic total energy: -20.28 eV for the cell shown

a b c (Å): 5.016 5.016 4.967
angles (deg): 90.00 90.00 90.00
Atoms (fractional coordinates):
Fe 0.000 0.000 0.000
Sb 0.000 0.500 0.000
Sb 0.500 0.000 0.000
Te 0.000 0.000 0.500
Cl 0.500 0.500 0.500

Record 2
This record from Alexandria via LeMat-Bulk describes a geometry-optimized FeSbTe2Cl structure. The functional is PBE.

Computed properties:
Symmetry: P4/mmm
ΔE_f (raw): 1190 meV/atom
Total magnetization: 3.9 μB/cell
Energy above the most stable polymorph in this dataset: 0.944 eV/atom
Electronic total energy: -14.77 eV for the cell shown

a b c (Å): 5.510 5.510 5.092
angles (deg): 90.00 90.00 90.00
Atoms (fractional coordinates):
Fe 0.000 0.000 0.000
Sb 0.500 0.500 0.000
Te 0.000 0.500 0.500
Te 0.500 0.000 0.500
Cl 0.500 0.500 0.500

Record 3
This record from Alexandria via LeMat-Bulk describes a geometry-optimized FeSbTe2Cl structure. The functional is PBE.

Computed properties:
Symmetry: P4/mmm
ΔE_f (raw): 245 meV/atom
Total magnetization: 3.1 μB/cell
Energy above the most stable polymorph in this dataset: 0.000 eV/atom
Electronic total energy: -19.49 eV for the cell shown

a b c (Å): 4.977 4.977 5.140
angles (deg): 90.00 90.00 90.00
Atoms (fractional coordinates):
Fe 0.000 0.000 0.000
Sb 0.000 0.000 0.500
Te 0.000 0.500 0.000
Te 0.500 0.000 0.000
Cl 0.500 0.500 0.500

Record 4
This record from Alexandria via LeMat-Bulk describes a geometry-optimized TlFe2SbCl8 structure. The functional is PBE.

Computed properties:
Symmetry: C2/m
ΔE_f (raw): -774 meV/atom
Total magnetization: 8.0 μB/cell
Electronic total energy: -47.48 eV for the cell shown

a b c (Å): 6.487 6.487 9.553
angles (deg): 93.34 93.34 70.35
Atoms (fractional coordinates):
Tl 0.000 0.000 0.000
Fe 0.378 0.378 0.722
Fe 0.622 0.622 0.278
Sb 0.000 0.000 0.500
Cl 0.246 0.740 0.293
Cl 0.251 0.251 0.515
Cl 0.260 0.754 0.707
Cl 0.294 0.294 0.928
Cl 0.706 0.706 0.072
Cl 0.740 0.246 0.293
Cl 0.749 0.749 0.485
Cl 0.754 0.260 0.707

> Which of these has the lowest electronic total energy?

TlFe2SbCl8

> What is the formula in the third record?

FeSbTe2Cl